## Ag4Se2S (PBE)

Data for Ag4Se2S after structural relaxation.

ΔE_f (raw)   0.049 eV/atom
Energy above the most stable polymorph in this dataset   37 meV/atom

Lattice parameters (Å, degrees): 7.2555 5.8229 7.9087 90.00 103.27 90.00
Closest atoms and distances in Å follow each position.
Space group P2_1/m (No. 11)
Inequivalent atoms, fractional coordinates:
1 Ag 0.0736 0.2500 0.1862 (multiplicity 2)  1 Se 2.64, 3 S 2.67-2.92
2 Ag 0.2718 0.0016 0.7636 (multiplicity 4)  2 Se 2.58
3 Ag 0.3193 0.7500 0.4579 (multiplicity 2)  1 S 2.63, 3 Se 2.71-2.94, 2 Ag 2.91
4 Se 0.2988 0.2500 0.5002 (multiplicity 2)  4 Ag 2.58-2.71
5 Se 0.3422 0.7500 0.0401 (multiplicity 2)  1 S 2.32, 2 Ag 2.58
6 S 0.0754 0.7500 0.1548 (multiplicity 2)  1 Se 2.32


## CaIr (PBE)

Data for CaIr after structural relaxation.

Formation enthalpy at 0 K   -202 meV per atom

Lattice parameters (Å, degrees): 9.8264 5.1066 4.5099 90.00 116.78 90.00
Closest atoms and distances in Å follow each position.
Space group C2 (No. 5)
Inequivalent atoms, fractional coordinates:
1 Ca 0.1922 0.0000 0.1934 (multiplicity 4)  3 Ir 2.85-3.12
2 Ir 0.0000 0.5140 0.0000 (multiplicity 2)  2 Ir 2.41
3 Ir 0.0000 0.6781 0.5000 (multiplicity 2)  2 Ir 2.41